No. 1
Computed, not measured: a relaxed structure of HfTaSe at the PBE-GGA level of DFT. Values from VASP.

The structure in Quantum ESPRESSO input format:
```
&SYSTEM
  ibrav = 0, nat = 6, ntyp = 3
/
ATOMIC_SPECIES
Ta 180.95 Ta.upf
Se 78.96 Se.upf
Hf 178.49 Hf.upf
CELL_PARAMETERS angstrom
-5.436 -3.011 -2.768
1.813 -2.739 -0.581
0.494 -0.841 5.511
ATOMIC_POSITIONS angstrom
Ta -3.329 -4.163 -0.334
Ta -3.988 -3.214 2.711
Se -2.626 -1.925 0.881
Se -1.473 -3.715 3.346
Hf -0.778 -1.094 2.732
Hf -0.118 -2.042 -0.314
```

Calculated values
uncorrected energy	-8.906	eV per atom
ΔE to the lowest computed polymorph	10	meV/atom
D(E_F)	3.0	states/eV per cell
raw formation energy	-476	meV/atom

No. 2
Computed, not measured: a relaxed structure of Hf3TaSe at the PBE-GGA level of DFT. Values from VASP.

The structure in Quantum ESPRESSO input format:
```
&SYSTEM
  ibrav = 0, nat = 5, ntyp = 3
/
ATOMIC_SPECIES
Hf 178.49 Hf.upf
Se 78.96 Se.upf
Ta 180.95 Ta.upf
CELL_PARAMETERS angstrom
-0.735 3.242 3.885
-3.133 -3.374 2.222
3.972 -2.061 2.472
ATOMIC_POSITIONS angstrom
Hf 1.986 -1.031 1.236
Hf -0.368 1.621 1.942
Hf -1.567 -1.687 1.111
Se 0.052 -1.097 4.289
Ta 0.000 0.000 0.000
```

Calculated values
uncorrected energy	-8.024	eV per atom
ΔE to the lowest computed polymorph	710	meV/atom
D(E_F)	9.2	states/eV per cell
raw formation energy	1016	meV/atom

No. 3
Computed, not measured: a relaxed structure of HfTaSe at the PBE-GGA level of DFT. Values from VASP.

The structure in Quantum ESPRESSO input format:
```
&SYSTEM
  ibrav = 0, nat = 6, ntyp = 3
/
ATOMIC_SPECIES
Ta 180.95 Ta.upf
Se 78.96 Se.upf
Hf 178.49 Hf.upf
CELL_PARAMETERS angstrom
-0.703 0.544 -3.137
2.534 -4.912 -1.643
-4.883 -4.126 -0.482
ATOMIC_POSITIONS angstrom
Ta 0.848 -4.759 -3.989
Ta -3.417 -4.404 -1.075
Se -1.698 -4.070 -3.149
Se -0.019 -6.753 -2.442
Hf -2.484 -6.620 -3.561
Hf -0.070 -2.568 -1.503
```

Calculated values
uncorrected energy	-8.916	eV per atom
ΔE to the lowest computed polymorph	0	meV/atom
D(E_F)	2.8	states/eV per cell
raw formation energy	-486	meV/atom

No. 4
Computed, not measured: a relaxed structure of HfTaSe2 at the PBE-GGA level of DFT. Values from VASP.

The structure in Quantum ESPRESSO input format:
```
&SYSTEM
  ibrav = 0, nat = 4, ntyp = 3
/
ATOMIC_SPECIES
Hf 178.49 Hf.upf
Ta 180.95 Ta.upf
Se 78.96 Se.upf
CELL_PARAMETERS angstrom
1.907 0.000 8.974
-0.954 1.652 8.974
-0.954 -1.652 8.974
ATOMIC_POSITIONS angstrom
Hf 0.000 0.000 0.000
Ta 0.000 0.000 13.460
Se 0.000 0.000 24.222
Se 0.000 0.000 2.699
```

Calculated values
uncorrected energy	-7.569	eV per atom
ΔE to the lowest computed polymorph	130	meV/atom
D(E_F)	5.6	states/eV per cell
raw formation energy	-375	meV/atom

No. 5
Computed, not measured: a relaxed structure of Hf2TaSe2 at the PBE-GGA level of DFT. Values from VASP.

The structure in Quantum ESPRESSO input format:
```
&SYSTEM
  ibrav = 0, nat = 10, ntyp = 3
/
ATOMIC_SPECIES
Hf 178.49 Hf.upf
Se 78.96 Se.upf
Ta 180.95 Ta.upf
CELL_PARAMETERS angstrom
7.225 0.000 0.000
0.000 7.225 0.000
0.000 0.000 3.527
ATOMIC_POSITIONS angstrom
Hf 2.477 1.136 1.764
Hf 1.136 4.748 1.764
Hf 6.090 2.477 1.764
Hf 4.748 6.090 1.764
Se 1.070 2.543 0.000
Se 6.156 4.682 0.000
Se 2.543 6.156 0.000
Se 4.682 1.070 0.000
Ta 0.000 0.000 0.000
Ta 3.613 3.613 0.000
```

Calculated values
uncorrected energy	-8.251	eV per atom
ΔE to the lowest computed polymorph	0	meV/atom
D(E_F)	8.6	states/eV per cell
raw formation energy	-505	meV/atom

No. 6
Computed, not measured: a relaxed structure of HfTaSe at the PBE-GGA level of DFT. Values from VASP.

The structure in Quantum ESPRESSO input format:
```
&SYSTEM
  ibrav = 0, nat = 12, ntyp = 3
/
ATOMIC_SPECIES
Hf 178.49 Hf.upf
Se 78.96 Se.upf
Ta 180.95 Ta.upf
CELL_PARAMETERS angstrom
7.495 0.000 -0.001
0.000 3.340 0.000
-0.546 0.000 9.654
ATOMIC_POSITIONS angstrom
Hf 1.683 1.670 5.868
Hf 5.266 1.670 3.785
Hf 4.993 0.000 8.612
Hf 1.956 0.000 1.041
Se 4.520 1.670 6.392
Se 2.429 1.670 3.261
Se 2.156 0.000 8.088
Se 4.793 0.000 1.565
Ta 0.352 0.000 3.574
Ta 6.596 0.000 6.079
Ta 6.869 1.670 1.252
Ta 0.079 1.670 8.401
```

Calculated values
uncorrected energy	-8.893	eV per atom
ΔE to the lowest computed polymorph	24	meV/atom
D(E_F)	8.4	states/eV per cell
raw formation energy	-462	meV/atom

No. 7
Computed, not measured: a relaxed structure of HfTaSe2 at the PBE-GGA level of DFT. Values from VASP.

The structure in Quantum ESPRESSO input format:
```
&SYSTEM
  ibrav = 0, nat = 4, ntyp = 3
/
ATOMIC_SPECIES
Se 78.96 Se.upf
Hf 178.49 Hf.upf
Ta 180.95 Ta.upf
CELL_PARAMETERS angstrom
-0.048 2.388 3.974
-2.624 3.803 0.388
-3.776 -0.053 2.692
ATOMIC_POSITIONS angstrom
Se -1.612 1.535 1.764
Se -4.836 4.604 5.291
Hf 0.000 0.000 0.000
Ta -3.224 3.069 3.527
```

Calculated values
uncorrected energy	-7.699	eV per atom
ΔE to the lowest computed polymorph	0	meV/atom
D(E_F)	3.8	states/eV per cell
raw formation energy	-505	meV/atom

No. 8
Computed, not measured: a relaxed structure of Hf2TaSe2 at the PBE-GGA level of DFT. Values from VASP.

The structure in Quantum ESPRESSO input format:
```
&SYSTEM
  ibrav = 0, nat = 5, ntyp = 3
/
ATOMIC_SPECIES
Se 78.96 Se.upf
Ta 180.95 Ta.upf
Hf 178.49 Hf.upf
CELL_PARAMETERS angstrom
-3.514 2.092 -3.153
-3.783 -2.032 2.868
-3.710 3.310 2.101
ATOMIC_POSITIONS angstrom
Se -7.337 2.199 1.178
Se -3.670 1.172 0.638
Ta 0.000 0.000 0.000
Hf -5.571 0.654 2.413
Hf -5.436 2.716 -0.597
```

Calculated values
uncorrected energy	-7.909	eV per atom
ΔE to the lowest computed polymorph	342	meV/atom
D(E_F)	2.6	states/eV per cell
raw formation energy	-163	meV/atom

No. 9
Computed, not measured: a relaxed structure of HfTaSe2 at the PBE-GGA level of DFT. Values from VASP.

The structure in Quantum ESPRESSO input format:
```
&SYSTEM
  ibrav = 0, nat = 8, ntyp = 3
/
ATOMIC_SPECIES
Hf 178.49 Hf.upf
Se 78.96 Se.upf
Ta 180.95 Ta.upf
CELL_PARAMETERS angstrom
-4.515 -1.151 0.503
1.001 -4.431 -1.153
-0.438 -4.536 7.529
ATOMIC_POSITIONS angstrom
Hf -1.757 -2.791 -0.325
Hf -0.597 -5.879 3.026
Se -1.665 -5.411 5.425
Se -3.384 -8.371 5.056
Se -2.892 -2.429 2.062
Se 0.038 -4.025 1.215
Ta 0.000 0.000 0.000
Ta -3.355 -4.239 3.853
```

Calculated values
uncorrected energy	-7.328	eV per atom
ΔE to the lowest computed polymorph	371	meV/atom
D(E_F)	6.0	states/eV per cell
raw formation energy	-134	meV/atom

No. 10
Computed, not measured: a relaxed structure of HfTaSe at the PBE-GGA level of DFT. Values from VASP.

The structure in Quantum ESPRESSO input format:
```
&SYSTEM
  ibrav = 0, nat = 6, ntyp = 3
/
ATOMIC_SPECIES
Ta 180.95 Ta.upf
Hf 178.49 Hf.upf
Se 78.96 Se.upf
CELL_PARAMETERS angstrom
3.306 0.000 0.000
0.000 7.377 0.000
0.000 0.000 4.591
ATOMIC_POSITIONS angstrom
Ta 0.000 7.362 4.412
Ta 1.653 0.016 2.117
Hf 0.000 4.811 2.622
Hf 1.653 2.567 0.327
Se 0.000 2.086 2.611
Se 1.653 5.292 0.315
```

Calculated values
uncorrected energy	-8.878	eV per atom
ΔE to the lowest computed polymorph	39	meV/atom
D(E_F)	3.0	states/eV per cell
raw formation energy	-448	meV/atom

No. 11
Computed, not measured: a relaxed structure of HfTaSe at the PBE-GGA level of DFT. Values from VASP.

The structure in Quantum ESPRESSO input format:
```
&SYSTEM
  ibrav = 0, nat = 6, ntyp = 3
/
ATOMIC_SPECIES
Ta 180.95 Ta.upf
Hf 178.49 Hf.upf
Se 78.96 Se.upf
CELL_PARAMETERS angstrom
3.285 0.000 0.000
-1.642 2.845 0.000
0.000 0.000 12.402
ATOMIC_POSITIONS angstrom
Ta 1.642 0.948 11.770
Ta 0.000 1.896 5.570
Hf 1.642 0.948 7.862
Hf 1.642 0.948 3.277
Se 0.000 1.896 9.950
Se 0.000 1.896 1.188
```

Calculated values
uncorrected energy	-8.825	eV per atom
ΔE to the lowest computed polymorph	91	meV/atom
D(E_F)	4.6	states/eV per cell
raw formation energy	-395	meV/atom

No. 12
Computed, not measured: a relaxed structure of HfTa3Se at the PBE-GGA level of DFT. Values from VASP.

The structure in Quantum ESPRESSO input format:
```
&SYSTEM
  ibrav = 0, nat = 5, ntyp = 3
/
ATOMIC_SPECIES
Ta 180.95 Ta.upf
Hf 178.49 Hf.upf
Se 78.96 Se.upf
CELL_PARAMETERS angstrom
4.948 0.000 0.000
0.000 4.948 0.000
0.000 0.000 4.948
ATOMIC_POSITIONS angstrom
Ta 2.474 0.000 0.000
Ta 0.000 0.000 2.474
Ta 0.000 2.474 0.000
Hf 0.000 0.000 0.000
Se 2.474 2.474 2.474
```

Calculated values
uncorrected energy	-7.877	eV per atom
ΔE to the lowest computed polymorph	1281	meV/atom
D(E_F)	6.3	states/eV per cell
raw formation energy	1922	meV/atom